# 1
Compound: AgSn3Bi
Source: the Alexandria database
Functional: GGA-PBE
Structure: relaxed

The space group is Pm-3m (No. 221) and the conventional cell measures 5.381, 5.381 and 5.381 Å, with angles of 90.00, 90.00 and 90.00 degrees. Symmetry generates all atoms from Ag at (0.000, 0.000, 0.000), Sn at (0.000, 0.000, 0.500) and Bi at (0.500, 0.500, 0.500).

The formation energy from the elements comes out at 0.35 eV per atom. The value obtained for the mass density is 7.17 g/cm3. For the relative energy among the computed polymorphs, the calculation gives 0.000 eV/atom.


# 2
Compound: LiAg2IrF8
Source: the Alexandria database
Functional: GGA-PBE
Structure: relaxed

The space group is P2/m (No. 10) and the conventional cell measures 5.051, 7.071 and 5.186 Å, with angles of 90.00, 97.72 and 90.00 degrees. Symmetry generates all atoms from Li at (0.000, 0.000, 0.000), Ag at (0.500, 0.235, 0.500), Ir at (0.000, 0.500, 0.000), F at (0.158, 0.296, 0.818), F at (0.286, 0.000, 0.267) and F at (0.309, 0.500, 0.277).

The value obtained for the mass density is 5.13 g/cm3. The calculation puts the formation energy from raw total energies at -1.58 eV per atom.


# 3
Compound: CdCo2Ag
Source: the Alexandria database
Functional: GGA-PBE
Structure: relaxed

The space group is P4mm (No. 99) and the conventional cell measures 2.883, 2.883 and 7.253 Å, with angles of 90.00, 90.00 and 90.00 degrees. Symmetry generates all atoms from Cd at (0.000, 0.000, 0.000), Co at (0.000, 0.000, 0.433), Co at (0.500, 0.500, 0.268) and Ag at (0.500, 0.500, 0.693).

The formation energy from the elements comes out at 0.19 eV per atom. The value obtained for the mass density is 9.31 g/cm3.


# 4
Compound: Cd2AsSe
Source: the Alexandria database
Functional: GGA-PBE
Structure: relaxed

The space group is I-42d (No. 122) and the conventional cell measures 6.267, 6.267 and 11.980 Å, with angles of 90.00, 90.00 and 90.00 degrees. Symmetry generates all atoms from Cd at (0.244, 0.250, 0.125), As at (0.000, 0.000, 0.000) and Se at (0.000, 0.000, 0.500).

The value obtained for the mass density is 5.35 g/cm3. For the relative energy among the computed polymorphs, the calculation gives 0.000 eV/atom. The calculation puts the formation energy from raw total energies at -0.18 eV per atom.